Record 1
Compound: Pm4Sm2TmMg
Source: the Alexandria database
Functional: GGA-PBE
Structure: relaxed

Computed properties:
formation enthalpy at 0 K: 9 kJ/mol of formula units
total moment: 0.000 μB per formula unit
space-group type: P4/mmm, No. 123
Fermi-level density of states: 1.44 states/eV/atom

Cell lengths 5.056, 5.056, 10.087 Å; angles 90.00, 90.00, 90.00 degrees
Positions (direct):
Pm1 0.000 0.500 0.248
Pm2 0.000 0.500 0.752
Pm3 0.500 0.000 0.248
Pm4 0.500 0.000 0.752
Sm1 0.000 0.000 0.000
Sm2 0.500 0.500 0.500
Tm1 0.000 0.000 0.500
Mg1 0.500 0.500 0.000

Record 2
Compound: LiFePt2
Source: the Alexandria database
Functional: GGA-PBE
Structure: relaxed

Computed properties:
formation enthalpy at 0 K: -157 kJ/mol of formula units
total moment: 3.978 μB per formula unit
space-group type: Fmmm, No. 69
Fermi-level density of states: 0.41 states/eV/atom

Cell lengths 4.432, 4.427, 4.032 Å; angles 62.99, 62.87, 54.14 degrees
Positions (direct):
Li1 0.000 0.000 0.000
Fe1 0.500 0.500 0.500
Pt1 0.250 0.250 0.250
Pt2 0.750 0.750 0.750

Record 3
Compound: LiGa2MoPb
Source: the Alexandria database
Functional: GGA-PBE
Structure: relaxed

Computed properties:
formation enthalpy at 0 K: 582 kJ/mol of formula units
total moment: 3.842 μB per formula unit
space-group type: P4/mmm, No. 123
Fermi-level density of states: 0.87 states/eV/atom

Cell lengths 5.489, 5.489, 5.487 Å; angles 90.00, 90.00, 90.00 degrees
Positions (direct):
Li1 0.000 0.000 0.000
Ga1 0.000 0.500 0.500
Ga2 0.500 0.000 0.500
Mo1 0.500 0.500 0.000
Pb1 0.500 0.500 0.500

Record 4
Compound: IrW
Source: the Alexandria database
Functional: GGA-PBE
Structure: relaxed

Computed properties:
formation enthalpy at 0 K: 103 kJ/mol of formula units
total moment: 0.000 μB per formula unit
space-group type: P6_3/mmc, No. 194
Fermi-level density of states: 1.04 states/eV/atom

Cell lengths 3.928, 3.928, 5.336 Å; angles 90.00, 90.00, 120.00 degrees
Positions (direct):
Ir1 0.000 0.000 0.000
Ir2 0.000 0.000 0.500
W1 0.333 0.667 0.250
W2 0.667 0.333 0.750

Record 5
Compound: ZnSe3
Source: the Alexandria database
Functional: GGA-PBE
Structure: relaxed

Computed properties:
energy relative to the elements, uncorrected: 0.486 eV/atom
total moment: 0.000 μB per formula unit
space-group type: Pm-3m, No. 221
Fermi-level density of states: 0.80 states/eV/atom

Cell lengths 4.330, 4.330, 4.330 Å; angles 90.00, 90.00, 90.00 degrees
Positions (direct):
Zn1 0.000 0.000 0.000
Se1 0.000 0.500 0.500
Se2 0.500 0.000 0.500
Se3 0.500 0.500 0.000

Record 6
Compound: NaSrPS2
Source: the Alexandria database
Functional: GGA-PBE
Structure: relaxed

Computed properties:
energy relative to the elements, uncorrected: 0.103 eV/atom
total moment: 3.894 μB per formula unit
space-group type: P4/mmm, No. 123
Fermi-level density of states: 1.00 states/eV/atom

Cell lengths 5.665, 5.665, 5.926 Å; angles 90.00, 90.00, 90.00 degrees
Positions (direct):
Na1 0.000 0.000 0.000
Sr1 0.500 0.500 0.500
P1 0.500 0.500 0.000
S1 0.000 0.500 0.500
S2 0.500 0.000 0.500

Copy entry 1 word for word.
Compound: Pm4Sm2TmMg
Source: the Alexandria database
Functional: GGA-PBE
Structure: relaxed

Computed properties:
formation enthalpy at 0 K: 9 kJ/mol of formula units
total moment: 0.000 μB per formula unit
space-group type: P4/mmm, No. 123
Fermi-level density of states: 1.44 states/eV/atom

Cell lengths 5.056, 5.056, 10.087 Å; angles 90.00, 90.00, 90.00 degrees
Positions (direct):
Pm1 0.000 0.500 0.248
Pm2 0.000 0.500 0.752
Pm3 0.500 0.000 0.248
Pm4 0.500 0.000 0.752
Sm1 0.000 0.000 0.000
Sm2 0.500 0.500 0.500
Tm1 0.000 0.000 0.500
Mg1 0.500 0.500 0.000